VASP calculation (PBE-GGA) on a geometry-optimized Cs2RbAgBr5 structure.

Cell lengths 5.2555, 19.3951, 14.8502 Å; angles 90.00, 90.00, 90.00 degrees
Space group Cmc2_1 (No. 36)
Inequivalent atoms, fractional coordinates:
Cs  0.0000  0.0855  0.0000 (multiplicity 4)
Cs  0.0000  0.1542  0.6294 (multiplicity 4)
Rb  0.0000  0.1900  0.3409 (multiplicity 4)
Ag  0.0000  0.4917  0.7360 (multiplicity 4)
Br  0.0000  0.0158  0.2708 (multiplicity 4)
Br  0.0000  0.2669  0.9790 (multiplicity 4)
Br  0.0000  0.3606  0.6942 (multiplicity 4)
Br  0.0000  0.3847  0.3073 (multiplicity 4)
Br  0.0000  0.4634  0.0519 (multiplicity 4)

Total DFT energy (no corrections) = -2.787 eV per atom
E_form (uncorrected) = -1.24 eV/atom